A relaxed structure of Y2ZnCuNi. Source: Alexandria via LeMat-Bulk, functional PBE.

The energy of formation from the pure elements comes out at 0.037 eV/atom. Its space group is No. 123. The crystal system is tetragonal. The density of states at the Fermi level comes out at 5.04 states/eV per cell.

abc: 5.0897 4.4996 5.0897
angles: 90.00 90.00 90.00
Last column: nearest neighbours and their distance in Å.
Fractional coordinates of all 5 atoms:
Zn (0.5000, 0.5000, 0.5000)  8 Y 3.40, 4 Cu 3.60
Cu (0.0000, 0.5000, 0.0000)  2 Ni 2.25
Y (0.5000, 0.0000, 0.0000)  2 Ni 2.54
Y (0.0000, 0.0000, 0.5000)  2 Ni 2.54
Ni (0.0000, 0.0000, 0.0000)  2 Cu 2.25